Entry 1:
Here is a relaxed structure of HgRuS from the Alexandria database. Energies are from GGA-PBE.

The calculation puts the uncorrected energy at -4.6362 eV per atom. For the density of states at the Fermi level, the calculation gives 2.13 states/eV/f.u. As for the formation energy (no corrections): -0.204 eV/f.u.

It has space group Cm (No. 8), with a = 5.554 Å, b = 3.042 Å, c = 14.822 Å, α = 90.00°, β = 91.89° and γ = 90.00°. The distinct sites, in fractional coordinates, are Hg at (0.000, 0.000, 0.000), Hg at (0.028, 0.000, 0.218), Ru at (0.234, 0.500, 0.528), Ru at (0.292, 0.000, 0.690), S at (0.048, 0.000, 0.437) and S at (0.478, 0.500, 0.782).

***

Entry 2:
Here is a relaxed structure of Sc4SbPbSe2 from the Alexandria database. Energies are from GGA-PBE.

The calculation puts the uncorrected energy at -6.1254 eV per atom. For the density of states at the Fermi level, the calculation gives 2.82 states/eV/f.u. As for the formation energy (no corrections): -8.877 eV/f.u.

It has space group P2/m (No. 10), with a = 6.953 Å, b = 4.007 Å, c = 7.071 Å, α = 90.00°, β = 109.05° and γ = 90.00°. The distinct sites, in fractional coordinates, are Sc at (0.244, 0.000, 0.234), Sc at (0.254, 0.500, 0.763), Sb at (0.000, 0.000, 0.500), Pb at (0.500, 0.500, 0.500), Se at (0.000, 0.500, 0.000) and Se at (0.500, 0.000, 0.000).

***

Entry 3:
Here is a relaxed structure of Ba2Ca2Al from the Alexandria database. Energies are from GGA-PBE.

As for the formation enthalpy at 0 K: 93 meV/atom. The calculation puts the uncorrected energy at -2.2256 eV per atom. For the density of states at the Fermi level, the calculation gives 6.74 states/eV/f.u.

It has space group P4/mbm (No. 127), with a = 8.310 Å, b = 8.310 Å, c = 6.378 Å, α = 90.00°, β = 90.00° and γ = 90.00°. The distinct sites, in fractional coordinates, are Ba at (0.181, 0.319, 0.000), Ca at (0.153, 0.653, 0.500) and Al at (0.000, 0.000, 0.500).